A relaxed TbPm8Ge6 crystal, computed with PBE.

Lattice parameters (Å, degrees): 9.292 9.292 9.292 50.58 50.58 50.58
Atoms (fractional coordinates):
Tb 0.000 0.000 0.000
Pm 0.118 0.783 0.453
Pm 0.217 0.547 0.882
Pm 0.333 0.333 0.333
Pm 0.453 0.118 0.783
Pm 0.547 0.882 0.217
Pm 0.667 0.667 0.667
Pm 0.783 0.453 0.118
Pm 0.882 0.217 0.547
Ge 0.068 0.399 0.738
Ge 0.262 0.932 0.601
Ge 0.399 0.738 0.068
Ge 0.601 0.262 0.932
Ge 0.738 0.068 0.399
Ge 0.932 0.601 0.262

Results
* energy of formation: -0.609 eV per atom
* DOS(E_F): 8.486 states/eV per cell
* space group: R-3, No. 148

---

A relaxed Pu3Si9Os2 crystal, computed with PBE.

Lattice parameters (Å, degrees): 7.795 7.795 7.795 149.49 101.52 86.49
Atoms (fractional coordinates):
Pu 0.000 0.000 0.000
Pu 0.318 0.318 0.000
Pu 0.682 0.682 0.000
Si 0.043 0.669 0.374
Si 0.148 0.872 0.276
Si 0.295 0.669 0.626
Si 0.404 0.128 0.276
Si 0.500 0.000 0.500
Si 0.596 0.872 0.724
Si 0.705 0.331 0.374
Si 0.852 0.128 0.724
Si 0.957 0.331 0.626
Os 0.274 0.500 0.774
Os 0.726 0.500 0.226

Results
* ΔE_f (raw): -5.08 eV/f.u.
* ΔE to the lowest computed polymorph: 0 meV per atom
* DOS(E_F): 19.888 states/eV per cell
* space group: Immm, No. 71

---

A relaxed Ba5ReN4F2 crystal, computed with PBE.

Lattice parameters (Å, degrees): 7.934 6.249 6.249 117.11 90.00 90.00
Atoms (fractional coordinates):
Ba 0.000 0.000 0.000
Ba 0.270 0.283 0.634
Ba 0.270 0.634 0.283
Ba 0.730 0.283 0.634
Ba 0.730 0.634 0.283
Re 0.500 0.968 0.968
N 0.318 0.153 0.153
N 0.500 0.663 0.953
N 0.500 0.953 0.663
N 0.682 0.153 0.153
F 0.000 0.418 0.958
F 0.000 0.958 0.418

Results
* ΔE_f (raw): -15.09 eV/f.u.
* DOS(E_F): 6.449 states/eV per cell
* space group: Amm2, No. 38

---

A relaxed ScInP2Pt crystal, computed with PBE.

Lattice parameters (Å, degrees): 4.885 4.885 5.077 90.00 90.00 90.00
Atoms (fractional coordinates):
Sc 0.000 0.000 0.000
In 0.500 0.500 0.500
P 0.000 0.500 0.000
P 0.500 0.000 0.000
Pt 0.000 0.000 0.500

Results
* energy of formation: 0.396 eV per atom
* DOS(E_F): 5.852 states/eV per cell
* space group: P4/mmm, No. 123

---

A relaxed CeBe2I8 crystal, computed with PBE.

Lattice parameters (Å, degrees): 7.991 7.991 9.067 98.71 98.71 95.24
Atoms (fractional coordinates):
Ce 0.000 0.000 0.000
Be 0.181 0.181 0.323
Be 0.819 0.819 0.677
I 0.133 0.800 0.739
I 0.200 0.867 0.261
I 0.290 0.290 0.105
I 0.311 0.311 0.558
I 0.689 0.689 0.442
I 0.710 0.710 0.895
I 0.800 0.133 0.739
I 0.867 0.200 0.261

Results
* ΔE_f (raw): -8.28 eV/f.u.
* DOS(E_F): 6.901 states/eV per cell
* space group: C2/m, No. 12

---

A relaxed Pa2Tl3NiTe6 crystal, computed with PBE.

Lattice parameters (Å, degrees): 7.329 7.329 8.758 98.05 98.05 119.82
Atoms (fractional coordinates):
Pa 0.160 0.840 0.000
Pa 0.840 0.160 0.000
Tl 0.000 0.000 0.500
Tl 0.321 0.679 0.500
Tl 0.679 0.321 0.500
Ni 0.500 0.500 0.000
Te 0.125 0.438 0.801
Te 0.259 0.259 0.216
Te 0.438 0.125 0.801
Te 0.562 0.875 0.199
Te 0.741 0.741 0.784
Te 0.875 0.562 0.199

Results
* ΔE_f (raw): -5.50 eV/f.u.
* DOS(E_F): 11.076 states/eV per cell
* space group: C2/m, No. 12

---

A relaxed Ta2SbMoBr crystal, computed with PBE.

Lattice parameters (Å, degrees): 4.761 4.761 4.661 90.00 90.00 90.00
Atoms (fractional coordinates):
Ta 0.000 0.500 0.000
Ta 0.500 0.000 0.000
Sb 0.000 0.000 0.500
Mo 0.500 0.500 0.500
Br 0.500 0.500 0.000

Results
* ΔE_f (raw): 7.08 eV/f.u.
* DOS(E_F): 5.203 states/eV per cell
* space group: P4/mmm, No. 123

---

A relaxed PmY3Er6 crystal, computed with PBE.

Lattice parameters (Å, degrees): 6.854 6.854 6.854 91.25 91.25 91.25
Atoms (fractional coordinates):
Pm 0.000 0.000 0.000
Y 0.245 0.245 0.245
Y 0.498 0.498 0.498
Y 0.742 0.742 0.742
Er 0.010 0.337 0.674
Er 0.174 0.838 0.512
Er 0.337 0.674 0.010
Er 0.512 0.174 0.838
Er 0.674 0.010 0.337
Er 0.838 0.512 0.174

Results
* energy of formation: 0.300 eV per atom
* ΔE to the lowest computed polymorph: 159 meV per atom
* DOS(E_F): 20.242 states/eV per cell
* space group: R3, No. 146

---

A relaxed Ho5Tm3Co2 crystal, computed with PBE.

Lattice parameters (Å, degrees): 9.632 9.632 9.632 116.97 81.70 133.69
Atoms (fractional coordinates):
Ho 0.004 0.250 0.754
Ho 0.123 0.244 0.367
Ho 0.250 0.250 0.000
Ho 0.377 0.744 0.121
Ho 0.496 0.250 0.246
Ho 0.504 0.750 0.754
Ho 0.623 0.256 0.879
Ho 0.750 0.750 0.000
Ho 0.877 0.756 0.633
Ho 0.996 0.750 0.246
Tm 0.124 0.756 0.880
Tm 0.250 0.750 0.500
Tm 0.376 0.256 0.632
Tm 0.624 0.744 0.368
Tm 0.750 0.250 0.500
Tm 0.876 0.244 0.120
Co 0.129 0.500 0.630
Co 0.371 0.000 0.371
Co 0.629 0.000 0.629
Co 0.871 0.500 0.370

Results
* energy of formation: -0.045 eV per atom
* DOS(E_F): 23.289 states/eV per cell
* space group: Ibam, No. 72

---

A relaxed Rb3SrTl2Br6 crystal, computed with PBE.

Lattice parameters (Å, degrees): 8.394 8.394 8.117 101.24 101.24 113.89
Atoms (fractional coordinates):
Rb 0.000 0.000 0.000
Rb 0.315 0.685 0.000
Rb 0.685 0.315 0.000
Sr 0.500 0.500 0.500
Tl 0.142 0.858 0.500
Tl 0.858 0.142 0.500
Br 0.125 0.441 0.273
Br 0.306 0.306 0.741
Br 0.441 0.125 0.273
Br 0.559 0.875 0.727
Br 0.694 0.694 0.259
Br 0.875 0.559 0.727

Results
* ΔE_f (raw): -17.06 eV/f.u.
* DOS(E_F): 4.182 states/eV per cell
* space group: C2/m, No. 12

---

A relaxed SmTlRh4 crystal, computed with PBE.

Lattice parameters (Å, degrees): 5.340 5.340 5.340 60.00 60.00 60.00
Atoms (fractional coordinates):
Sm 0.000 0.000 0.000
Tl 0.750 0.750 0.750
Rh 0.376 0.376 0.376
Rh 0.376 0.376 0.873
Rh 0.376 0.873 0.376
Rh 0.873 0.376 0.376

Results
* energy of formation: -0.351 eV per atom
* DOS(E_F): 7.961 states/eV per cell
* space group: F-43m, No. 216

---

A relaxed DyScZn crystal, computed with PBE.

Lattice parameters (Å, degrees): 7.308 7.308 4.617 90.00 90.00 120.00
Atoms (fractional coordinates):
Dy 0.000 0.408 0.000
Dy 0.408 0.000 0.000
Dy 0.592 0.592 0.000
Sc 0.000 0.745 0.500
Sc 0.255 0.255 0.500
Sc 0.745 0.000 0.500
Zn 0.000 0.000 0.000
Zn 0.333 0.667 0.500
Zn 0.667 0.333 0.500

Results
* energy of formation: -0.185 eV per atom
* ΔE to the lowest computed polymorph: 18 meV per atom
* DOS(E_F): 11.670 states/eV per cell
* space group: P-62m, No. 189

---

A relaxed LiNdCd5 crystal, computed with PBE.

Lattice parameters (Å, degrees): 5.348 5.348 6.811 90.00 90.00 112.35
Atoms (fractional coordinates):
Li 0.000 0.000 0.000
Nd 0.500 0.500 0.500
Cd 0.000 0.500 0.235
Cd 0.000 0.500 0.765
Cd 0.500 0.000 0.235
Cd 0.500 0.000 0.765
Cd 0.500 0.500 0.000

Results
* energy of formation: -0.111 eV per atom
* DOS(E_F): 4.017 states/eV per cell
* space group: Cmmm, No. 65

---

A relaxed Ac2PmIrPt crystal, computed with PBE.

Lattice parameters (Å, degrees): 4.423 4.423 15.212 90.00 90.00 90.00
Atoms (fractional coordinates):
Ac 0.250 0.250 0.099
Ac 0.250 0.250 0.712
Ac 0.750 0.750 0.288
Ac 0.750 0.750 0.901
Pm 0.250 0.750 0.500
Pm 0.750 0.250 0.500
Ir 0.250 0.250 0.895
Ir 0.750 0.750 0.105
Pt 0.250 0.250 0.357
Pt 0.750 0.750 0.643

Results
* energy of formation: -0.669 eV per atom
* DOS(E_F): 7.897 states/eV per cell
* space group: P4/nmm, No. 129

---

A relaxed Y2TmSb2Te2 crystal, computed with PBE.

Lattice parameters (Å, degrees): 8.596 8.596 8.596 141.42 141.42 55.70
Atoms (fractional coordinates):
Y 0.113 0.113 0.000
Y 0.887 0.887 0.000
Tm 0.500 0.500 0.000
Sb 0.000 0.500 0.500
Sb 0.500 0.000 0.500
Te 0.303 0.303 0.000
Te 0.697 0.697 0.000

Results
* ΔE_f (raw): -4.80 eV/f.u.
* DOS(E_F): 4.899 states/eV per cell
* space group: I4/mmm, No. 139

---

A relaxed TaIO crystal, computed with PBE.

Lattice parameters (Å, degrees): 4.370 3.465 9.512 90.00 94.28 90.00
Atoms (fractional coordinates):
Ta 0.207 0.250 0.067
Ta 0.793 0.750 0.933
I 0.223 0.750 0.303
I 0.777 0.250 0.697
O 0.304 0.750 0.941
O 0.696 0.250 0.059

Results
* ΔE_f (raw): -3.79 eV/f.u.
* DOS(E_F): 1.636 states/eV per cell
* space group: P2_1/m, No. 11

---

A relaxed VRuAu crystal, computed with PBE.

Lattice parameters (Å, degrees): 5.627 5.627 5.627 149.32 149.32 43.95
Atoms (fractional coordinates):
V 0.000 0.000 0.000
Ru 0.624 0.624 0.000
Au 0.322 0.322 0.000

Results
* energy of formation: -0.030 eV per atom
* ΔE to the lowest computed polymorph: 85 meV per atom
* DOS(E_F): 2.370 states/eV per cell
* space group: I4mm, No. 107

---

A relaxed Er2TlIn9 crystal, computed with PBE.

Lattice parameters (Å, degrees): 4.639 4.639 14.483 90.00 90.00 90.00
Atoms (fractional coordinates):
Er 0.000 0.000 0.157
Er 0.000 0.000 0.843
Tl 0.000 0.000 0.500
In 0.000 0.500 0.000
In 0.000 0.500 0.322
In 0.000 0.500 0.678
In 0.500 0.000 0.000
In 0.500 0.000 0.322
In 0.500 0.000 0.678
In 0.500 0.500 0.162
In 0.500 0.500 0.500
In 0.500 0.500 0.838

Results
* energy of formation: -0.216 eV per atom
* DOS(E_F): 5.988 states/eV per cell
* space group: P4/mmm, No. 123

---

A relaxed Ba2InOs crystal, computed with PBE.

Lattice parameters (Å, degrees): 4.646 6.622 6.622 43.66 90.00 90.00
Atoms (fractional coordinates):
Ba 0.000 0.000 0.000
Ba 0.500 0.282 0.282
In 0.000 0.698 0.698
Os 0.500 0.588 0.588

Results
* energy of formation: 0.280 eV per atom
* DOS(E_F): 3.742 states/eV per cell
* space group: Amm2, No. 38

---

A relaxed LaHRh3 crystal, computed with PBE.

Lattice parameters (Å, degrees): 4.173 4.173 4.173 90.00 90.00 90.00
Atoms (fractional coordinates):
La 0.000 0.000 0.000
H 0.500 0.500 0.500
Rh 0.000 0.500 0.500
Rh 0.500 0.000 0.500
Rh 0.500 0.500 0.000

Results
* ΔE to the lowest computed polymorph: 0 meV per atom
* DOS(E_F): 4.218 states/eV per cell
* space group: Pm-3m, No. 221